Compound: PmLuTlCo
Source: Alexandria
Functional: PBE
Structure: optimized geometry

**N(E_F)**: 2.1 states/eV/f.u.
**DFT formation energy**: -0.090 eV/atom

Cell lengths 7.2504, 7.2504, 7.2504 Å; angles 90.00, 90.00, 90.00 degrees
Last column: nearest neighbours and their distance in Å.
Space group F-43m (No. 216)
Symmetry-distinct sites (fractional):
Pm 0.0000 0.0000 0.0000  4 Tl 3.14, 4 Co 3.14
Lu 0.0000 0.0000 0.5000  4 Tl 3.14, 4 Co 3.14
Tl 0.2500 0.2500 0.2500  4 Pm 3.14, 4 Lu 3.14
Co 0.2500 0.2500 0.7500  4 Pm 3.14, 4 Lu 3.14